## TmSnHgPd (PBE-GGA)

Data for a geometry-optimized TmSnHgPd structure.

Calculated volume = 21.52 Å³ per atom
Raw total energy = -0.1480 hartree per atom
Fermi-level density of states = 2.08 states/eV/cell
Total magnetic moment = 0.0000 μB per atom

The structure in POSCAR format:
```
TmSnHgPd
1.0
4.9561 0.0000 0.0000
2.4781 4.2921 0.0000
2.4781 1.4307 4.0466
Tm Hg Pd Sn
1 1 1 1
Direct
0.7500 0.7500 0.7500
0.5000 0.5000 0.5000
0.0000 0.0000 0.0000
0.2500 0.2500 0.2500
```